DFT (PBE) results for Pr4Dy8Sc after structural relaxation.

For the final energy, the calculation gives -4.255 eV per atom. For the total magnetization, the calculation gives 4.9 Bohr magnetons per cell. The calculation puts the energy of formation from the pure elements at 0.535 eV/atom.

Unit cell a=11.0211 b=11.0211 c=13.4516 alpha=90.00 beta=90.00 gamma=120.00
Closest atoms and distances in Å follow each position.
Space group R-3m (No. 166, hexagonal axes)
Inequivalent atoms, fractional coordinates:
Pr: 0.0000 0.0000 0.0000 x3  8 Dy 3.26-3.27
Pr: 0.0000 0.5000 0.0000 x9  8 Dy 3.41
Dy: 0.0000 0.0000 0.2421 x6  4 Pr 3.26-3.41, 1 Sc 3.47
Dy: 0.0101 0.5051 0.7466 x18  4 Pr 3.27-3.41, 1 Sc 3.48
Sc: 0.0000 0.0000 0.5000 x3  8 Dy 3.47-3.48